1.
Compound: NaCaRu2Br
Source: the Alexandria database
Functional: PBE-GGA
Structure: relaxed

a b c (Å): 4.7040 4.7040 5.0156
angles (deg): 90.00 90.00 90.00
Fractional positions:
Na (0.0000, 0.0000, 0.0000)
Ca (0.5000, 0.5000, 0.0000)
Ru (0.0000, 0.5000, 0.5000)
Ru (0.5000, 0.0000, 0.5000)
Br (0.0000, 0.0000, 0.5000)

Properties
Its formation energy from raw total energies is 687 meV/atom.

***

2.
Compound: Na3Ca2S2Br3
Source: the Alexandria database
Functional: PBE-GGA
Structure: relaxed

a b c (Å): 13.1158 13.1158 13.1158
angles (deg): 157.64 157.64 31.83
Fractional positions:
Na (0.0000, 0.0000, 0.0000)
Na (0.3918, 0.3918, 0.0000)
Na (0.6082, 0.6082, 0.0000)
Ca (0.2500, 0.7500, 0.5000)
Ca (0.7500, 0.2500, 0.5000)
S (0.2859, 0.2859, 0.0000)
S (0.7141, 0.7141, 0.0000)
Br (0.1166, 0.1166, 0.0000)
Br (0.5000, 0.5000, 0.0000)
Br (0.8834, 0.8834, 0.0000)

Properties
Its formation energy from raw total energies is -1581 meV/atom.

***

3.
Compound: NaCa2ScBr8
Source: the Alexandria database
Functional: PBE-GGA
Structure: relaxed

a b c (Å): 6.6221 8.6835 6.8139
angles (deg): 90.00 90.11 90.00
Fractional positions:
Na (0.0000, 0.0000, 0.0000)
Ca (0.5000, 0.2465, 0.5000)
Ca (0.5000, 0.7535, 0.5000)
Sc (0.0000, 0.5000, 0.0000)
Br (0.2123, 0.2788, 0.8289)
Br (0.2123, 0.7212, 0.8289)
Br (0.2661, 0.5000, 0.3098)
Br (0.2824, 0.0000, 0.3244)
Br (0.7176, 0.0000, 0.6756)
Br (0.7339, 0.5000, 0.6902)
Br (0.7877, 0.2788, 0.1711)
Br (0.7877, 0.7212, 0.1711)

Properties
Its formation energy from raw total energies is -1812 meV/atom.

***

4.
Compound: NaCaScBr6
Source: the Alexandria database
Functional: PBE-GGA
Structure: relaxed

a b c (Å): 7.1745 7.1745 13.1072
angles (deg): 90.00 90.00 120.00
Fractional positions:
Na (0.0000, 0.0000, 0.0000)
Na (0.0000, 0.0000, 0.5000)
Ca (0.3333, 0.6667, 0.2500)
Ca (0.6667, 0.3333, 0.7500)
Sc (0.3333, 0.6667, 0.7500)
Sc (0.6667, 0.3333, 0.2500)
Br (0.0248, 0.3676, 0.6316)
Br (0.0248, 0.6572, 0.8684)
Br (0.3428, 0.3676, 0.8684)
Br (0.3428, 0.9752, 0.6316)
Br (0.3676, 0.0248, 0.1316)
Br (0.3676, 0.3428, 0.3684)
Br (0.6324, 0.6572, 0.6316)
Br (0.6324, 0.9752, 0.8684)
Br (0.6572, 0.0248, 0.3684)
Br (0.6572, 0.6324, 0.1316)
Br (0.9752, 0.3428, 0.1316)
Br (0.9752, 0.6324, 0.3684)

Properties
Its formation energy from raw total energies is -1780 meV/atom.

***

5.
Compound: NaCaSeBr
Source: the Alexandria database
Functional: PBE-GGA
Structure: relaxed

a b c (Å): 4.2813 4.2813 21.1227
angles (deg): 90.00 90.00 120.00
Fractional positions:
Na (0.0000, 0.0000, 0.0000)
Na (0.3333, 0.6667, 0.6667)
Na (0.6667, 0.3333, 0.3333)
Ca (0.0000, 0.0000, 0.5212)
Ca (0.3333, 0.6667, 0.1878)
Ca (0.6667, 0.3333, 0.8545)
Se (0.0000, 0.0000, 0.2568)
Se (0.3333, 0.6667, 0.9235)
Se (0.6667, 0.3333, 0.5902)
Br (0.0000, 0.0000, 0.7651)
Br (0.3333, 0.6667, 0.4317)
Br (0.6667, 0.3333, 0.0984)

Properties
Its formation energy from raw total energies is -1713 meV/atom.

***

6.
Compound: NaCaSe2Br
Source: the Alexandria database
Functional: PBE-GGA
Structure: relaxed

a b c (Å): 5.5882 5.5882 5.7292
angles (deg): 90.00 90.00 90.00
Fractional positions:
Na (0.0000, 0.0000, 0.0000)
Ca (0.5000, 0.5000, 0.5000)
Se (0.0000, 0.5000, 0.5000)
Se (0.5000, 0.0000, 0.5000)
Br (0.5000, 0.5000, 0.0000)

Properties
Its formation energy from raw total energies is -800 meV/atom. Its energy above the most stable polymorph in this dataset is 0.000 eV per atom.

***

7.
Compound: NaCaSe2Br
Source: the Alexandria database
Functional: PBE-GGA
Structure: relaxed

a b c (Å): 5.0708 5.0708 5.5695
angles (deg): 90.00 90.00 90.00
Fractional positions:
Na (0.0000, 0.0000, 0.0000)
Ca (0.5000, 0.5000, 0.5000)
Se (0.0000, 0.5000, 0.0000)
Se (0.5000, 0.0000, 0.0000)
Br (0.0000, 0.0000, 0.5000)

Properties
Its formation energy from raw total energies is -575 meV/atom. Its energy above the most stable polymorph in this dataset is 0.225 eV per atom.

***

8.
Compound: Na2CaSnBr6
Source: the Alexandria database
Functional: PBE-GGA
Structure: relaxed

a b c (Å): 8.0203 8.0203 8.0203
angles (deg): 55.82 55.82 55.82
Fractional positions:
Na (0.0000, 0.0000, 0.0000)
Na (0.4982, 0.4982, 0.4982)
Ca (0.6943, 0.6943, 0.6943)
Sn (0.1953, 0.1953, 0.1953)
Br (0.0874, 0.7950, 0.4150)
Br (0.3002, 0.5986, 0.9039)
Br (0.4150, 0.0874, 0.7950)
Br (0.5986, 0.9039, 0.3002)
Br (0.7950, 0.4150, 0.0874)
Br (0.9039, 0.3002, 0.5986)

Properties
Its formation energy from raw total energies is -1454 meV/atom.

***

9.
Compound: Na2SrCaBr6
Source: the Alexandria database
Functional: PBE-GGA
Structure: relaxed

a b c (Å): 8.0731 8.0731 8.0731
angles (deg): 55.77 55.77 55.77
Fractional positions:
Na (0.0000, 0.0000, 0.0000)
Na (0.4969, 0.4969, 0.4969)
Sr (0.1973, 0.1973, 0.1973)
Ca (0.6940, 0.6940, 0.6940)
Br (0.0870, 0.4158, 0.7911)
Br (0.2990, 0.8969, 0.6062)
Br (0.4158, 0.7911, 0.0870)
Br (0.6062, 0.2990, 0.8969)
Br (0.7911, 0.0870, 0.4158)
Br (0.8969, 0.6062, 0.2990)

Properties
Its formation energy from raw total energies is -1861 meV/atom.

***

10.
Compound: NaCa2TbBr8
Source: the Alexandria database
Functional: PBE-GGA
Structure: relaxed

a b c (Å): 6.7066 8.7759 6.9467
angles (deg): 90.00 90.16 90.00
Fractional positions:
Na (0.0000, 0.0000, 0.0000)
Ca (0.5000, 0.2424, 0.5000)
Ca (0.5000, 0.7576, 0.5000)
Tb (0.0000, 0.5000, 0.0000)
Br (0.2244, 0.2663, 0.8287)
Br (0.2244, 0.7336, 0.8287)
Br (0.2690, 0.5000, 0.3240)
Br (0.2775, 0.0000, 0.3303)
Br (0.7225, 0.0000, 0.6697)
Br (0.7310, 0.5000, 0.6760)
Br (0.7756, 0.2663, 0.1713)
Br (0.7756, 0.7336, 0.1713)

Properties
Its formation energy from raw total energies is -1882 meV/atom.

***

11.
Compound: NaCaTeBr
Source: the Alexandria database
Functional: PBE-GGA
Structure: relaxed

a b c (Å): 4.5078 4.5078 21.6892
angles (deg): 90.00 90.00 120.00
Fractional positions:
Na (0.0000, 0.0000, 0.0000)
Na (0.3333, 0.6667, 0.6667)
Na (0.6667, 0.3333, 0.3333)
Ca (0.0000, 0.0000, 0.4882)
Ca (0.3333, 0.6667, 0.1549)
Ca (0.6667, 0.3333, 0.8216)
Te (0.0000, 0.0000, 0.7457)
Te (0.3333, 0.6667, 0.4124)
Te (0.6667, 0.3333, 0.0791)
Br (0.0000, 0.0000, 0.2371)
Br (0.3333, 0.6667, 0.9038)
Br (0.6667, 0.3333, 0.5705)

Properties
Its formation energy from raw total energies is -1517 meV/atom.

***

12.
Compound: NaCa2TlBr8
Source: the Alexandria database
Functional: PBE-GGA
Structure: relaxed

a b c (Å): 6.6268 8.6796 6.9946
angles (deg): 90.00 90.61 90.00
Fractional positions:
Na (0.0000, 0.0000, 0.0000)
Ca (0.5000, 0.2487, 0.5000)
Ca (0.5000, 0.7513, 0.5000)
Tl (0.0000, 0.5000, 0.0000)
Br (0.2356, 0.2654, 0.1532)
Br (0.2356, 0.7346, 0.1532)
Br (0.2559, 0.5000, 0.6572)
Br (0.2772, 0.0000, 0.6653)
Br (0.7228, 0.0000, 0.3347)
Br (0.7441, 0.5000, 0.3428)
Br (0.7644, 0.2654, 0.8468)
Br (0.7644, 0.7346, 0.8468)

Properties
Its formation energy from raw total energies is -1395 meV/atom.

***

13.
Compound: NaCa2TlBr6
Source: the Alexandria database
Functional: PBE-GGA
Structure: relaxed

a b c (Å): 8.0420 8.0420 8.0420
angles (deg): 57.21 57.21 57.21
Fractional positions:
Na (0.0000, 0.0000, 0.0000)
Ca (0.3057, 0.3057, 0.3057)
Ca (0.7991, 0.7991, 0.7991)
Tl (0.5153, 0.5153, 0.5153)
Br (0.0669, 0.4206, 0.6867)
Br (0.1458, 0.9609, 0.5754)
Br (0.4206, 0.6867, 0.0669)
Br (0.5754, 0.1458, 0.9609)
Br (0.6867, 0.0669, 0.4206)
Br (0.9609, 0.5754, 0.1458)

Properties
Its formation energy from raw total energies is -1692 meV/atom.

***

14.
Compound: NaCaTlBr4
Source: the Alexandria database
Functional: PBE-GGA
Structure: relaxed

a b c (Å): 9.0894 9.0894 9.0894
angles (deg): 121.74 117.45 90.75
Fractional positions:
Na (0.0000, 0.0000, 0.0000)
Na (0.5000, 0.0000, 0.5000)
Ca (0.5000, 0.0000, 0.0000)
Ca (0.5000, 0.5000, 0.5000)
Tl (0.1252, 0.3752, 0.7500)
Tl (0.8748, 0.6248, 0.2500)
Br (0.2732, 0.2438, 0.4706)
Br (0.2732, 0.8025, 0.0294)
Br (0.2861, 0.2425, 0.0436)
Br (0.3011, 0.7575, 0.5436)
Br (0.6989, 0.2425, 0.4564)
Br (0.7139, 0.7575, 0.9564)
Br (0.7268, 0.1975, 0.9706)
Br (0.7268, 0.7562, 0.5294)

Properties
Its formation energy from raw total energies is -1547 meV/atom.

***

15.
Compound: NaCaTlBr2
Source: the Alexandria database
Functional: PBE-GGA
Structure: relaxed

a b c (Å): 6.1295 6.1295 5.7205
angles (deg): 90.00 90.00 90.00
Fractional positions:
Na (0.0000, 0.0000, 0.0000)
Ca (0.5000, 0.5000, 0.0000)
Tl (0.0000, 0.0000, 0.5000)
Br (0.0000, 0.5000, 0.5000)
Br (0.5000, 0.0000, 0.5000)

Properties
Its formation energy from raw total energies is -370 meV/atom.

***

16.
Compound: NaCaTmBr6
Source: the Alexandria database
Functional: PBE-GGA
Structure: relaxed

a b c (Å): 7.2846 7.2846 13.2780
angles (deg): 90.00 90.00 120.00
Fractional positions:
Na (0.0000, 0.0000, 0.0000)
Na (0.0000, 0.0000, 0.5000)
Ca (0.3333, 0.6667, 0.2500)
Ca (0.6667, 0.3333, 0.7500)
Tm (0.3333, 0.6667, 0.7500)
Tm (0.6667, 0.3333, 0.2500)
Br (0.0143, 0.3604, 0.6302)
Br (0.0143, 0.6539, 0.8698)
Br (0.3461, 0.3604, 0.8698)
Br (0.3461, 0.9857, 0.6302)
Br (0.3604, 0.0143, 0.1302)
Br (0.3604, 0.3461, 0.3698)
Br (0.6396, 0.6539, 0.6302)
Br (0.6396, 0.9857, 0.8698)
Br (0.6539, 0.0143, 0.3698)
Br (0.6539, 0.6396, 0.1302)
Br (0.9857, 0.3461, 0.1302)
Br (0.9857, 0.6396, 0.3698)

Properties
Its formation energy from raw total energies is -1857 meV/atom.

***

17.
Compound: Na2CaUBr8
Source: the Alexandria database
Functional: PBE-GGA
Structure: relaxed

a b c (Å): 6.8775 8.7614 7.1131
angles (deg): 90.00 94.45 90.00
Fractional positions:
Na (0.0000, 0.2357, 0.0000)
Na (0.0000, 0.7643, 0.0000)
Ca (0.5000, 0.0000, 0.5000)
U (0.5000, 0.5000, 0.5000)
Br (0.2307, 0.0000, 0.1836)
Br (0.2317, 0.5000, 0.1860)
Br (0.2886, 0.2664, 0.6608)
Br (0.2886, 0.7336, 0.6608)
Br (0.7114, 0.2664, 0.3392)
Br (0.7114, 0.7336, 0.3392)
Br (0.7683, 0.5000, 0.8140)
Br (0.7693, 0.0000, 0.8164)

Properties
Its formation energy from raw total energies is -1546 meV/atom.

***

18.
Compound: NaCaWBr2
Source: the Alexandria database
Functional: PBE-GGA
Structure: relaxed

a b c (Å): 5.6236 5.6236 6.2600
angles (deg): 90.00 90.00 90.00
Fractional positions:
Na (0.0000, 0.0000, 0.0000)
Ca (0.5000, 0.5000, 0.5000)
W (0.5000, 0.5000, 0.0000)
Br (0.0000, 0.5000, 0.5000)
Br (0.5000, 0.0000, 0.5000)

Properties
Its formation energy from raw total energies is 309 meV/atom.

***

19.
Compound: NaCaYBr6
Source: the Alexandria database
Functional: PBE-GGA
Structure: relaxed

a b c (Å): 7.3292 7.3292 13.2922
angles (deg): 90.00 90.00 120.00
Fractional positions:
Na (0.0000, 0.0000, 0.0000)
Na (0.0000, 0.0000, 0.5000)
Ca (0.3333, 0.6667, 0.2500)
Ca (0.6667, 0.3333, 0.7500)
Y (0.3333, 0.6667, 0.7500)
Y (0.6667, 0.3333, 0.2500)
Br (0.0101, 0.3573, 0.6294)
Br (0.0101, 0.6528, 0.8706)
Br (0.3472, 0.3573, 0.8706)
Br (0.3472, 0.9899, 0.6294)
Br (0.3573, 0.0101, 0.1294)
Br (0.3573, 0.3472, 0.3706)
Br (0.6427, 0.6528, 0.6294)
Br (0.6427, 0.9899, 0.8706)
Br (0.6528, 0.0101, 0.3706)
Br (0.6528, 0.6427, 0.1294)
Br (0.9899, 0.3472, 0.1294)
Br (0.9899, 0.6427, 0.3706)

Properties
Its formation energy from raw total energies is -1862 meV/atom.

***

20.
Compound: NaCa2YBr8
Source: the Alexandria database
Functional: PBE-GGA
Structure: relaxed

a b c (Å): 6.7140 8.7729 6.9331
angles (deg): 90.00 90.18 90.00
Fractional positions:
Na (0.0000, 0.0000, 0.0000)
Ca (0.5000, 0.2425, 0.5000)
Ca (0.5000, 0.7575, 0.5000)
Y (0.0000, 0.5000, 0.0000)
Br (0.2217, 0.2669, 0.8272)
Br (0.2217, 0.7331, 0.8272)
Br (0.2707, 0.5000, 0.3221)
Br (0.2798, 0.0000, 0.3279)
Br (0.7202, 0.0000, 0.6721)
Br (0.7293, 0.5000, 0.6779)
Br (0.7783, 0.2669, 0.1728)
Br (0.7783, 0.7331, 0.1728)

Properties
Its formation energy from raw total energies is -1882 meV/atom.

***

21.
Compound: Na2CaZnBr
Source: the Alexandria database
Functional: PBE-GGA
Structure: relaxed

a b c (Å): 6.7032 6.7032 5.8453
angles (deg): 90.00 90.00 90.00
Fractional positions:
Na (0.0000, 0.5000, 0.0000)
Na (0.5000, 0.0000, 0.0000)
Ca (0.0000, 0.0000, 0.0000)
Zn (0.0000, 0.0000, 0.5000)
Br (0.5000, 0.5000, 0.5000)

Properties
Its formation energy from raw total energies is 258 meV/atom.

***

22.
Compound: CaNbBr3
Source: the Alexandria database
Functional: PBE-GGA
Structure: relaxed

a b c (Å): 5.4103 5.4103 5.4103
angles (deg): 90.00 90.00 90.00
Fractional positions:
Ca (0.0000, 0.0000, 0.0000)
Nb (0.5000, 0.5000, 0.5000)
Br (0.0000, 0.5000, 0.5000)
Br (0.5000, 0.0000, 0.5000)
Br (0.5000, 0.5000, 0.0000)

Properties
Its formation energy from raw total energies is -463 meV/atom. Its energy above the most stable polymorph in this dataset is 0.000 eV per atom.

***

23.
Compound: CaNbBr3
Source: the Alexandria database
Functional: PBE-GGA
Structure: relaxed

a b c (Å): 5.5716 5.5716 5.5716
angles (deg): 90.00 90.00 90.00
Fractional positions:
Ca (0.0000, 0.0000, 0.0000)
Nb (0.5000, 0.5000, 0.5000)
Br (0.0000, 0.0000, 0.5000)
Br (0.0000, 0.5000, 0.0000)
Br (0.5000, 0.0000, 0.0000)

Properties
Its formation energy from raw total energies is -306 meV/atom. Its energy above the most stable polymorph in this dataset is 0.157 eV per atom.

***

no.,VASP energy (eV per atom)
1,-4.022
2,-3.704
3,-3.898
4,-3.968
5,-3.833
6,-3.192
7,-2.968
8,-3.322
9,-3.497
10,-3.827
11,-3.550
12,-3.151
13,-3.465
14,-3.316
15,-2.177
16,-3.838
17,-3.989
18,-3.614
19,-4.065
20,-3.979
21,-1.259
22,-3.881
23,-3.724